# 1
A PBEsol-optimized structure of Si3CI. Source: Alexandria, functional meta-GGA SCAN.

Structure (POSCAR):
```
Si3CI
1.0
4.295 0.000 0.000
0.000 4.295 0.000
0.000 0.000 4.295
C Si I
1 3 1
Direct
0.000 0.000 0.000 C
0.500 0.000 0.000 Si
0.000 0.000 0.500 Si
0.000 0.500 0.000 Si
0.500 0.500 0.500 I
```

Computed properties:
symmetry = No. 221

# 2
A PBEsol-optimized structure of SrCI3. Source: Alexandria, functional meta-GGA SCAN.

Structure (POSCAR):
```
SrCI3
1.0
6.299 0.000 0.000
0.000 6.299 0.000
0.000 0.000 6.299
I Sr C
3 1 1
Direct
0.000 0.000 0.500 I
0.000 0.500 0.000 I
0.500 0.000 0.000 I
0.000 0.000 0.000 Sr
0.500 0.500 0.500 C
```

Computed properties:
symmetry = No. 221

# 3
A PBEsol-optimized structure of ZrTa2CI. Source: Alexandria, functional meta-GGA SCAN.

Structure (POSCAR):
```
ZrTa2CI
1.0
4.269 0.000 0.000
0.000 4.269 0.000
0.000 0.000 4.769
Ta Zr C I
2 1 1 1
Direct
0.000 0.500 0.000 Ta
0.500 0.000 0.000 Ta
0.000 0.000 0.500 Zr
0.000 0.000 0.000 C
0.500 0.500 0.500 I
```

Computed properties:
symmetry = No. 123

Record-wise formation energy from raw total energies values, in meV/atom: 1459 703 384
Record-wise N(E_F) values, in states/eV/f.u.: 2.17 11.38 4.62